Record 1
Density functional theory data (PBE) for a relaxed BaZr4Ru crystal.

Lattice parameters (Å, degrees): 5.866 5.866 5.866 60.00 60.00 60.00
Sites, in units of the cell vectors:
Ba (0.000, 0.000, 0.000)
Zr (0.377, 0.377, 0.377)
Zr (0.377, 0.377, 0.870)
Zr (0.377, 0.870, 0.377)
Zr (0.870, 0.377, 0.377)
Ru (0.750, 0.750, 0.750)

Formation enthalpy at 0 K, meV/atom: 708

Record 2
Density functional theory data (PBE) for a relaxed BaZrRu crystal.

Lattice parameters (Å, degrees): 7.318 7.318 7.318 152.75 152.75 38.92
Sites, in units of the cell vectors:
Ba (0.000, 0.000, 0.000)
Zr (0.740, 0.740, 0.000)
Ru (0.324, 0.324, 0.000)

Formation enthalpy at 0 K, meV/atom: 108
Energy above the lowest structure with this stoichiometry, meV per atom: 0

Record 3
Density functional theory data (PBE) for a relaxed BaZrRu crystal.

Lattice parameters (Å, degrees): 4.740 4.740 4.740 60.00 60.00 60.00
Sites, in units of the cell vectors:
Ba (0.000, 0.000, 0.000)
Zr (0.750, 0.750, 0.750)
Ru (0.250, 0.250, 0.250)

Formation enthalpy at 0 K, meV/atom: 1516
Energy above the lowest structure with this stoichiometry, meV per atom: 1408

Record 4
Density functional theory data (PBE) for a relaxed BaZrRu crystal.

Lattice parameters (Å, degrees): 4.077 4.077 6.389 90.00 90.00 120.00
Sites, in units of the cell vectors:
Ba (0.000, 0.000, 0.000)
Zr (0.333, 0.667, 0.494)
Ru (0.667, 0.333, 0.328)

Formation enthalpy at 0 K, meV/atom: 268
Energy above the lowest structure with this stoichiometry, meV per atom: 160

Record 5
Density functional theory data (PBE) for a relaxed Ba3ZrRu crystal.

Lattice parameters (Å, degrees): 5.902 5.902 5.902 90.00 90.00 90.00
Sites, in units of the cell vectors:
Ba (0.000, 0.000, 0.500)
Ba (0.000, 0.500, 0.000)
Ba (0.500, 0.000, 0.000)
Zr (0.500, 0.500, 0.500)
Ru (0.000, 0.000, 0.000)

Formation enthalpy at 0 K, meV/atom: 804
Energy above the lowest structure with this stoichiometry, meV per atom: 0

Record 6
Density functional theory data (PBE) for a relaxed Ba2S13 crystal.

Lattice parameters (Å, degrees): 9.378 9.378 7.362 103.39 103.39 41.70
Sites, in units of the cell vectors:
Ba (0.127, 0.127, 0.476)
Ba (0.873, 0.873, 0.524)
S (0.000, 0.000, 0.000)
S (0.018, 0.521, 0.757)
S (0.220, 0.728, 0.226)
S (0.272, 0.780, 0.774)
S (0.289, 0.289, 0.203)
S (0.459, 0.459, 0.704)
S (0.479, 0.982, 0.243)
S (0.521, 0.018, 0.757)
S (0.541, 0.541, 0.296)
S (0.711, 0.711, 0.797)
S (0.728, 0.220, 0.226)
S (0.780, 0.272, 0.774)
S (0.982, 0.479, 0.243)

E_form (uncorrected), meV per atom: -399

Record 7
Density functional theory data (PBE) for a relaxed Ba3S2 crystal.

Lattice parameters (Å, degrees): 8.847 8.847 8.847 51.79 51.79 51.79
Sites, in units of the cell vectors:
Ba (0.078, 0.750, 0.422)
Ba (0.250, 0.578, 0.922)
Ba (0.422, 0.078, 0.750)
Ba (0.578, 0.922, 0.250)
Ba (0.750, 0.422, 0.078)
Ba (0.922, 0.250, 0.578)
S (0.163, 0.163, 0.163)
S (0.337, 0.337, 0.337)
S (0.663, 0.663, 0.663)
S (0.837, 0.837, 0.837)

E_form (uncorrected), meV per atom: -1549
Energy above the lowest structure with this stoichiometry, meV per atom: 53

Record 8
Density functional theory data (PBE) for a relaxed Ba3S2 crystal.

Lattice parameters (Å, degrees): 11.825 11.825 11.825 22.07 22.07 22.07
Sites, in units of the cell vectors:
Ba (0.000, 0.000, 0.000)
Ba (0.227, 0.227, 0.227)
Ba (0.773, 0.773, 0.773)
S (0.388, 0.388, 0.388)
S (0.612, 0.612, 0.612)

E_form (uncorrected), meV per atom: -1602
Energy above the lowest structure with this stoichiometry, meV per atom: 0

Record 9
Density functional theory data (PBE) for a relaxed Ba5S4 crystal.

Lattice parameters (Å, degrees): 9.179 9.179 9.179 93.39 93.39 151.84
Sites, in units of the cell vectors:
Ba (0.000, 0.000, 0.000)
Ba (0.246, 0.584, 0.831)
Ba (0.416, 0.246, 0.662)
Ba (0.584, 0.754, 0.338)
Ba (0.754, 0.416, 0.169)
S (0.106, 0.783, 0.889)
S (0.217, 0.106, 0.322)
S (0.783, 0.894, 0.678)
S (0.894, 0.217, 0.111)

E_form (uncorrected), meV per atom: -1678

Record 10
Density functional theory data (PBE) for a relaxed Ba4S crystal.

Lattice parameters (Å, degrees): 6.412 6.412 6.412 90.00 90.00 90.00
Sites, in units of the cell vectors:
Ba (0.000, 0.000, 0.000)
Ba (0.000, 0.500, 0.500)
Ba (0.500, 0.000, 0.500)
Ba (0.500, 0.500, 0.000)
S (0.500, 0.500, 0.500)

E_form (uncorrected), meV per atom: -722

Record 11
Density functional theory data (PBE) for a relaxed BaS8 crystal.

Lattice parameters (Å, degrees): 7.855 7.855 6.285 108.39 108.39 42.10
Sites, in units of the cell vectors:
Ba (0.000, 0.000, 0.000)
S (0.073, 0.073, 0.561)
S (0.242, 0.242, 0.345)
S (0.357, 0.357, 0.968)
S (0.366, 0.366, 0.292)
S (0.634, 0.634, 0.708)
S (0.643, 0.643, 0.032)
S (0.758, 0.758, 0.655)
S (0.927, 0.927, 0.439)

E_form (uncorrected), meV per atom: -274

Record 12
Density functional theory data (PBE) for a relaxed BaS4 crystal.

Lattice parameters (Å, degrees): 6.159 6.159 6.159 90.00 90.00 90.00
Sites, in units of the cell vectors:
Ba (0.000, 0.000, 0.000)
S (0.000, 0.000, 0.500)
S (0.000, 0.500, 0.000)
S (0.500, 0.000, 0.000)
S (0.500, 0.500, 0.500)

E_form (uncorrected), meV per atom: 823
Energy above the lowest structure with this stoichiometry, meV per atom: 1204